This record from Alexandria via LeMat-Bulk describes Rb2AcMnSe4 after structural relaxation. The functional is PBE-GGA.

Summary:
V   533.69 Å³ per cell
Symmetry   C2/c
Raw total energy   -4.771 eV/atom
Calculated density   4.8 g cm⁻³

Unit cell a=8.812 b=8.812 c=9.213 alpha=118.35 beta=118.35 gamma=89.03
Element x y z (fractional)
Rb (0.000, 0.000, 0.000)
Rb (0.000, 0.000, 0.500)
Rb (0.000, 0.500, 0.000)
Rb (0.500, 0.000, 0.500)
Ac (0.500, 0.500, 0.000)
Ac (0.500, 0.500, 0.500)
Mn (0.000, 0.500, 0.500)
Mn (0.500, 0.000, 0.000)
Se (0.198, 0.683, 0.480)
Se (0.235, 0.317, 0.541)
Se (0.317, 0.235, 0.041)
Se (0.317, 0.802, 0.020)
Se (0.683, 0.198, 0.980)
Se (0.683, 0.765, 0.959)
Se (0.765, 0.683, 0.459)
Se (0.802, 0.317, 0.520)